# VGaMo4 | Alexandria via LeMat-Bulk | GGA-PBE | optimized geometry
data_VGaMo4
_chemical_formula_sum 'V2 Ga2 Mo8'
_cell_length_a 9.7214
_cell_length_b 3.1370
_cell_length_c 6.3635
_cell_angle_alpha 90.00
_cell_angle_beta 108.89
_cell_angle_gamma 90.00
_symmetry_space_group_name_H-M 'C 1 2/m 1'
_symmetry_Int_Tables_number 12
loop_
_symmetry_equiv_pos_as_xyz
'x,y,z'
'-x,-y,-z'
'-x,y,-z'
'x,-y,z'
'x+1/2,y+1/2,z'
'-x+1/2,-y+1/2,-z'
'-x+1/2,y+1/2,-z'
'x+1/2,-y+1/2,z'
loop_
_atom_site_label
_atom_site_type_symbol
_atom_site_fract_x
_atom_site_fract_y
_atom_site_fract_z
V1 V 0.0000 0.0000 0.0000
Ga1 Ga 0.0000 0.0000 0.5000
Mo1 Mo 0.1639 0.5000 0.8390
Mo2 Mo 0.1748 0.5000 0.3278
# - Formation energy from the elements: -7 kJ per mole of atoms
# - Calculated density: 9.12 g/cm³
# - Size of the total moment: 0.00 μB per formula unit

# V5Ga3Mo2 | Alexandria via LeMat-Bulk | GGA-PBE | optimized geometry
data_V5Ga3Mo2
_chemical_formula_sum 'V20 Ga12 Mo8'
_cell_length_a 9.7233
_cell_length_b 12.5791
_cell_length_c 5.0226
_cell_angle_alpha 90.00
_cell_angle_beta 90.00
_cell_angle_gamma 90.00
_symmetry_space_group_name_H-M 'I b a m'
_symmetry_Int_Tables_number 72
_symmetry_space_group_name_Hall '-I 2 2c'
loop_
_atom_site_label
_atom_site_type_symbol
_atom_site_fract_x
_atom_site_fract_y
_atom_site_fract_z
V1 V 0.0000 0.0000 0.2500
V2 V 0.1205 0.3471 0.0000
V3 V 0.2494 0.0000 0.2500
Ga1 Ga 0.0000 0.5000 0.2500
Ga2 Ga 0.1317 0.1518 0.0000
Mo1 Mo 0.1418 0.2176 0.5000
# - Formation energy from the elements: 25 kJ per mole of atoms
# - Calculated density: 7.09 g/cm³
# - Size of the total moment: 0.00 μB per formula unit

# V7Ga5Mo | Alexandria via LeMat-Bulk | GGA-PBE | optimized geometry
data_V7Ga5Mo
_chemical_formula_sum 'V14 Ga10 Mo2'
_cell_length_a 10.2023
_cell_length_b 8.5831
_cell_length_c 5.0549
_cell_angle_alpha 90.00
_cell_angle_beta 119.68
_cell_angle_gamma 90.00
_symmetry_space_group_name_H-M 'C 1 m 1'
_symmetry_Int_Tables_number 8
loop_
_symmetry_equiv_pos_as_xyz
'x,y,z'
'x,-y,z'
'x+1/2,y+1/2,z'
'x+1/2,-y+1/2,z'
loop_
_atom_site_label
_atom_site_type_symbol
_atom_site_fract_x
_atom_site_fract_y
_atom_site_fract_z
V1 V 0.0000 0.0000 0.0000
V2 V 0.0983 0.5000 0.0987
V3 V 0.2156 0.1878 0.2160
V4 V 0.2215 0.3570 0.7220
V5 V 0.3476 0.5000 0.3476
Ga1 Ga 0.4494 0.0000 0.4499
Ga2 Ga 0.4699 0.2534 0.7195
Ga3 Ga 0.4702 0.2537 0.2216
Mo1 Mo 0.1367 0.0000 0.6385
# - Formation energy from the elements: 0 kJ per mole of atoms
# - Calculated density: 6.92 g/cm³
# - Size of the total moment: 0.45 μB per formula unit

# VGaMo2 | Alexandria via LeMat-Bulk | GGA-PBE | optimized geometry
data_VGaMo2
_chemical_formula_sum 'V4 Ga4 Mo8'
_cell_length_a 6.9623
_cell_length_b 6.9623
_cell_length_c 5.3361
_cell_angle_alpha 90.00
_cell_angle_beta 90.00
_cell_angle_gamma 90.00
_symmetry_space_group_name_H-M 'I -4 2 d'
_symmetry_Int_Tables_number 122
_symmetry_space_group_name_Hall 'I -4 2bw'
loop_
_atom_site_label
_atom_site_type_symbol
_atom_site_fract_x
_atom_site_fract_y
_atom_site_fract_z
V1 V 0.0000 0.0000 0.0000
Ga1 Ga 0.0000 0.0000 0.5000
Mo1 Mo 0.2260 0.2500 0.1250
# - Formation energy from the elements: 53 kJ per mole of atoms
# - Calculated density: 8.03 g/cm³
# - Size of the total moment: 0.00 μB per formula unit

# V3Ga2Mo | Alexandria via LeMat-Bulk | GGA-PBE | optimized geometry
data_V3Ga2Mo
_chemical_formula_sum 'V12 Ga8 Mo4'
_cell_length_a 7.5781
_cell_length_b 2.6111
_cell_length_c 17.4606
_cell_angle_alpha 90.00
_cell_angle_beta 90.00
_cell_angle_gamma 90.00
_symmetry_space_group_name_H-M 'P n m a'
_symmetry_Int_Tables_number 62
loop_
_symmetry_equiv_pos_as_xyz
'x,y,z'
'-x,-y,-z'
'-x+1/2,-y,z+1/2'
'x+1/2,y,-z+1/2'
'x+1/2,-y+1/2,-z+1/2'
'-x+1/2,y+1/2,z+1/2'
'-x,y+1/2,-z'
'x,-y+1/2,z'
loop_
_atom_site_label
_atom_site_type_symbol
_atom_site_fract_x
_atom_site_fract_y
_atom_site_fract_z
V1 V 0.0558 0.2500 0.1820
V2 V 0.1023 0.2500 0.9451
V3 V 0.1043 0.7500 0.6913
Ga1 Ga 0.2243 0.7500 0.3062
Ga2 Ga 0.2414 0.7500 0.0702
Mo1 Mo 0.0738 0.2500 0.4347
# - Formation energy from the elements: -5 kJ per mole of atoms
# - Calculated density: 7.46 g/cm³
# - Size of the total moment: 0.00 μB per formula unit

# V7Ga2Mo | Alexandria via LeMat-Bulk | GGA-PBE | optimized geometry
data_V7Ga2Mo
_chemical_formula_sum 'V28 Ga8 Mo4'
_cell_length_a 8.8778
_cell_length_b 8.8778
_cell_length_c 8.8778
_cell_angle_alpha 90.00
_cell_angle_beta 90.00
_cell_angle_gamma 90.00
_symmetry_space_group_name_H-M 'F m -3 m'
_symmetry_Int_Tables_number 225
_symmetry_space_group_name_Hall '-F 4 2 3'
loop_
_atom_site_label
_atom_site_type_symbol
_atom_site_fract_x
_atom_site_fract_y
_atom_site_fract_z
V1 V 0.0000 0.0000 0.0000
V2 V 0.0000 0.0000 0.2435
Ga1 Ga 0.2500 0.2500 0.2500
Mo1 Mo 0.0000 0.0000 0.5000
# - Formation energy from the elements: 100 kJ per mole of atoms
# - Calculated density: 5.62 g/cm³
# - Size of the total moment: 0.00 μB per formula unit

# VGaMo2 | Alexandria via LeMat-Bulk | GGA-PBE | optimized geometry
data_VGaMo2
_chemical_formula_sum 'V3 Ga3 Mo6'
_cell_length_a 2.9333
_cell_length_b 2.9333
_cell_length_c 25.0532
_cell_angle_alpha 90.00
_cell_angle_beta 90.00
_cell_angle_gamma 120.00
_symmetry_space_group_name_H-M 'R 3 m'
_symmetry_Int_Tables_number 160
_symmetry_space_group_name_Hall 'R 3 -2"'
loop_
_atom_site_label
_atom_site_type_symbol
_atom_site_fract_x
_atom_site_fract_y
_atom_site_fract_z
V1 V 0.0000 0.0000 0.0000
Ga1 Ga 0.0000 0.0000 0.1650
Mo1 Mo 0.0000 0.0000 0.5850
Mo2 Mo 0.0000 0.0000 0.7437
# - Formation energy from the elements: 22 kJ per mole of atoms
# - Calculated density: 8.34 g/cm³
# - Size of the total moment: 0.00 μB per formula unit

# V4Ga3Mo2 | Alexandria via LeMat-Bulk | GGA-PBE | optimized geometry
data_V4Ga3Mo2
_chemical_formula_sum 'V16 Ga12 Mo8'
_cell_length_a 7.8520
_cell_length_b 8.9642
_cell_length_c 7.4629
_cell_angle_alpha 90.00
_cell_angle_beta 96.28
_cell_angle_gamma 90.00
_symmetry_space_group_name_H-M 'C 1 2/c 1'
_symmetry_Int_Tables_number 15
loop_
_symmetry_equiv_pos_as_xyz
'x,y,z'
'-x,-y,-z'
'-x,y,-z+1/2'
'x,-y,z+1/2'
'x+1/2,y+1/2,z'
'-x+1/2,-y+1/2,-z'
'-x+1/2,y+1/2,-z+1/2'
'x+1/2,-y+1/2,z+1/2'
loop_
_atom_site_label
_atom_site_type_symbol
_atom_site_fract_x
_atom_site_fract_y
_atom_site_fract_z
V1 V 0.0422 0.1252 0.0763
V2 V 0.2108 0.3716 0.5792
Ga1 Ga 0.0000 0.3732 0.2500
Ga2 Ga 0.1654 0.1135 0.7475
Mo1 Mo 0.1240 0.3756 0.9226
# - Formation energy from the elements: -8 kJ per mole of atoms
# - Calculated density: 7.69 g/cm³
# - Size of the total moment: 0.00 μB per formula unit

# V7Ga2Mo3 | Alexandria via LeMat-Bulk | GGA-PBE | optimized geometry
data_V7Ga2Mo3
_chemical_formula_sum 'V14 Ga4 Mo6'
_cell_length_a 4.3418
_cell_length_b 20.7748
_cell_length_c 4.1266
_cell_angle_alpha 90.00
_cell_angle_beta 90.00
_cell_angle_gamma 90.00
_symmetry_space_group_name_H-M 'C m m m'
_symmetry_Int_Tables_number 65
_symmetry_space_group_name_Hall '-C 2 2'
loop_
_atom_site_label
_atom_site_type_symbol
_atom_site_fract_x
_atom_site_fract_y
_atom_site_fract_z
V1 V 0.0000 0.0000 0.0000
V2 V 0.0000 0.0694 0.5000
V3 V 0.0000 0.2774 0.0000
V4 V 0.0000 0.4241 0.0000
Ga1 Ga 0.0000 0.1501 0.0000
Mo1 Mo 0.0000 0.3494 0.5000
Mo2 Mo 0.0000 0.5000 0.5000
# - Formation energy from the elements: 21 kJ per mole of atoms
# - Calculated density: 6.99 g/cm³
# - Size of the total moment: 2.68 μB per formula unit

# V6GaMo2 | Alexandria via LeMat-Bulk | GGA-PBE | optimized geometry
data_V6GaMo2
_chemical_formula_sum 'V12 Ga2 Mo4'
_cell_length_a 4.4564
_cell_length_b 5.0760
_cell_length_c 12.1735
_cell_angle_alpha 90.00
_cell_angle_beta 90.00
_cell_angle_gamma 90.00
_symmetry_space_group_name_H-M 'I m m m'
_symmetry_Int_Tables_number 71
_symmetry_space_group_name_Hall '-I 2 2'
loop_
_atom_site_label
_atom_site_type_symbol
_atom_site_fract_x
_atom_site_fract_y
_atom_site_fract_z
V1 V 0.0000 0.2428 0.0000
V2 V 0.0000 0.2460 0.1919
Ga1 Ga 0.0000 0.0000 0.5000
Mo1 Mo 0.0000 0.5000 0.3910
# - Formation energy from the elements: 38 kJ per mole of atoms
# - Calculated density: 6.84 g/cm³
# - Size of the total moment: 0.00 μB per formula unit